# 1
Sm4Tl2Cd5 | GGA-PBE | optimized geometry

Calculated values
As for the total energy: -30.87 eV/cell. As for the magnetization: 0.000 μB per formula unit. As for the formation energy: -0.245 eV/atom. Its volume is 27.36 Å³ per atom.

a b c (Å): 8.056 3.604 10.418
angles (deg): 90.00 95.76 90.00
Space group P2/m (No. 10)
Unique sites:
Sm  0.170  0.000  0.391 [2 per cell]
Sm  0.278  0.000  0.940 [2 per cell]
Tl  0.066  0.500  0.141 [2 per cell]
Cd  0.194  0.500  0.660 [2 per cell]
Cd  0.448  0.500  0.207 [2 per cell]
Cd  0.500  0.500  0.500 [1 per cell]

---

# 2
CoOs2Ru | GGA-PBE | optimized geometry

Calculated values
As for the total energy: -114.16 eV/cell. As for the magnetization: 1.505 μB per formula unit. As for the formation energy: 0.197 eV/atom. Its volume is 13.61 Å³ per atom.

a b c (Å): 2.7028 2.7028 25.8198
angles (deg): 90.00 90.00 120.00
Space group R3m (No. 160, hexagonal axes)
Unique sites:
Co  0.0000  0.0000  0.0000 [3 per cell]
Os  0.0000  0.0000  0.2518 [3 per cell]
Os  0.0000  0.0000  0.4998 [3 per cell]
Ru  0.0000  0.0000  0.7483 [3 per cell]